Record 1
! LaAl2Sb2 | the Alexandria database | PBE | optimized geometry; values from VASP
&SYSTEM
  ibrav = 0, nat = 5, ntyp = 3
/
ATOMIC_SPECIES
La 138.91 La.upf
Sb 121.76 Sb.upf
Al 26.98 Al.upf
ATOMIC_POSITIONS crystal
La 0.000 0.000 0.000
Sb 0.250 0.750 0.500
Sb 0.750 0.250 0.500
Al 0.357 0.357 0.286
Al 0.643 0.643 0.714
CELL_PARAMETERS angstrom
-1.567 -4.965 1.311
5.051 -1.243 1.328
0.954 -1.721 5.612
! formation energy from raw total energies = -368 meV/atom
! raw total energy = -4.500 eV/atom
! space-group type = I4/mmm, No. 139



Record 2
! La5Al2Sb | the Alexandria database | PBE | optimized geometry; values from VASP
&SYSTEM
  ibrav = 0, nat = 16, ntyp = 3
/
ATOMIC_SPECIES
La 138.91 La.upf
Sb 121.76 Sb.upf
Al 26.98 Al.upf
ATOMIC_POSITIONS crystal
La 0.323 0.823 0.300
La 0.478 0.323 0.300
La 0.022 0.522 0.700
La 0.500 0.500 0.000
La 0.677 0.177 0.700
La 0.978 0.478 0.300
La 0.823 0.978 0.300
La 0.177 0.022 0.700
La 0.522 0.677 0.700
La 0.000 0.000 0.000
Sb 0.750 0.750 0.500
Sb 0.250 0.250 0.500
Al 0.381 0.881 0.000
Al 0.619 0.119 0.000
Al 0.881 0.619 0.000
Al 0.119 0.381 0.000
CELL_PARAMETERS angstrom
7.770 0.000 -3.668
-1.731 7.575 -3.668
-0.493 -0.618 9.021
! formation energy from raw total energies = -525 meV/atom
! raw total energy = -5.055 eV/atom
! space-group type = I4/mcm, No. 140



Record 3
! LaAl2Sb | the Alexandria database | PBE | optimized geometry; values from VASP
&SYSTEM
  ibrav = 0, nat = 4, ntyp = 3
/
ATOMIC_SPECIES
La 138.91 La.upf
Al 26.98 Al.upf
Sb 121.76 Sb.upf
ATOMIC_POSITIONS crystal
La 0.500 0.000 0.500
Al 0.500 0.500 0.000
Al 0.000 0.000 0.000
Sb 0.000 0.500 0.500
CELL_PARAMETERS angstrom
-4.512 -0.196 -0.912
0.436 -4.425 -1.206
-0.815 -1.251 4.299
! formation energy from raw total energies = -432 meV/atom
! raw total energy = -4.566 eV/atom
! space-group type = P4/mmm, No. 123



Record 4
! LaAl2Sb | the Alexandria database | PBE | optimized geometry; values from VASP
&SYSTEM
  ibrav = 0, nat = 8, ntyp = 3
/
ATOMIC_SPECIES
Sb 121.76 Sb.upf
Al 26.98 Al.upf
La 138.91 La.upf
ATOMIC_POSITIONS crystal
Sb 0.500 0.500 0.000
Sb 0.250 0.750 0.500
Al 0.875 0.837 0.750
Al 0.163 0.625 0.250
Al 0.375 0.413 0.750
Al 0.587 0.125 0.250
La 0.000 0.000 0.000
La 0.750 0.250 0.500
CELL_PARAMETERS angstrom
-6.848 2.898 -3.487
-3.818 -7.092 1.604
-6.285 -0.945 1.885
! formation energy from raw total energies = -202 meV/atom
! raw total energy = -4.336 eV/atom
! space-group type = I-42d, No. 122



Record 5
! LaAl3Sb | the Alexandria database | PBE | optimized geometry; values from VASP
&SYSTEM
  ibrav = 0, nat = 5, ntyp = 3
/
ATOMIC_SPECIES
Al 26.98 Al.upf
Sb 121.76 Sb.upf
La 138.91 La.upf
ATOMIC_POSITIONS crystal
Al 0.500 0.000 0.000
Al 0.000 0.000 0.500
Al 0.000 0.500 0.000
Sb 0.500 0.500 0.500
La 0.000 0.000 0.000
CELL_PARAMETERS angstrom
-1.771 4.654 2.711
-0.117 -2.887 4.879
5.385 1.468 0.998
! formation energy from raw total energies = 1193 meV/atom
! ΔE to the lowest computed polymorph = 731.0 meV per atom
! raw total energy = -2.863 eV/atom
! space-group type = Pm-3m, No. 221



Record 6
! LaScAl2Sb | the Alexandria database | PBE | optimized geometry; values from VASP
&SYSTEM
  ibrav = 0, nat = 5, ntyp = 4
/
ATOMIC_SPECIES
La 138.91 La.upf
Al 26.98 Al.upf
Sb 121.76 Sb.upf
Sc 44.96 Sc.upf
ATOMIC_POSITIONS crystal
La 0.500 0.500 0.500
Al 0.500 0.000 0.000
Al 0.000 0.500 0.000
Sb 0.000 0.000 0.500
Sc 0.000 0.000 0.000
CELL_PARAMETERS angstrom
5.159 0.000 0.000
0.000 5.159 0.000
0.000 0.000 5.312
! formation energy from raw total energies = -19 meV/atom
! raw total energy = -4.592 eV/atom
! space-group type = P4/mmm, No. 123



Record 7
! LaSc2AlSb | the Alexandria database | PBE | optimized geometry; values from VASP
&SYSTEM
  ibrav = 0, nat = 5, ntyp = 4
/
ATOMIC_SPECIES
Sc 44.96 Sc.upf
Al 26.98 Al.upf
La 138.91 La.upf
Sb 121.76 Sb.upf
ATOMIC_POSITIONS crystal
Sc 0.000 0.000 0.500
Sc 0.500 0.000 0.000
Al 0.000 0.000 0.000
La 0.000 0.500 0.000
Sb 0.500 0.500 0.500
CELL_PARAMETERS angstrom
-2.308 -3.684 2.744
4.361 -0.035 3.621
-2.336 3.586 2.849
! formation energy from raw total energies = -67 meV/atom
! raw total energy = -5.158 eV/atom
! space-group type = P4/mmm, No. 123



Record 8
! Sr2LaAl2Sb4 | the Alexandria database | PBE | optimized geometry; values from VASP
&SYSTEM
  ibrav = 0, nat = 9, ntyp = 4
/
ATOMIC_SPECIES
Sb 121.76 Sb.upf
Sr 87.62 Sr.upf
Al 26.98 Al.upf
La 138.91 La.upf
ATOMIC_POSITIONS crystal
Sb 0.482 0.277 0.965
Sb 0.518 0.723 0.035
Sb 0.212 0.203 0.425
Sb 0.788 0.797 0.575
Sr 0.871 0.442 0.742
Sr 0.129 0.558 0.258
Al 0.330 0.013 0.661
Al 0.670 0.987 0.339
La 0.000 0.000 0.000
CELL_PARAMETERS angstrom
4.529 0.000 0.000
0.000 8.004 0.354
-2.264 -2.829 7.682
! formation energy from raw total energies = -703 meV/atom
! raw total energy = -4.288 eV/atom
! space-group type = C2/m, No. 12



Record 9
! La2TaAlSb | the Alexandria database | PBE | optimized geometry; values from VASP
&SYSTEM
  ibrav = 0, nat = 5, ntyp = 4
/
ATOMIC_SPECIES
La 138.91 La.upf
Sb 121.76 Sb.upf
Ta 180.95 Ta.upf
Al 26.98 Al.upf
ATOMIC_POSITIONS crystal
La 0.000 0.000 0.500
La 0.500 0.000 0.000
Sb 0.000 0.500 0.000
Ta 0.000 0.000 0.000
Al 0.500 0.500 0.500
CELL_PARAMETERS angstrom
5.625 0.000 0.000
0.000 5.302 0.000
0.000 0.000 5.625
! formation energy from raw total energies = 364 meV/atom
! raw total energy = -5.551 eV/atom
! space-group type = P4/mmm, No. 123



Record 10
! LaAlSb2Te | the Alexandria database | PBE | optimized geometry; values from VASP
&SYSTEM
  ibrav = 0, nat = 5, ntyp = 4
/
ATOMIC_SPECIES
Sb 121.76 Sb.upf
La 138.91 La.upf
Te 127.60 Te.upf
Al 26.98 Al.upf
ATOMIC_POSITIONS crystal
Sb 0.000 0.500 0.000
Sb 0.500 0.000 0.000
La 0.500 0.500 0.500
Te 0.000 0.000 0.500
Al 0.000 0.000 0.000
CELL_PARAMETERS angstrom
-2.641 1.642 4.273
-0.851 -5.023 1.405
4.640 0.014 2.862
! formation energy from raw total energies = -225 meV/atom
! ΔE to the lowest computed polymorph = 0.0 meV per atom
! raw total energy = -4.237 eV/atom
! space-group type = P4/mmm, No. 123



Record 11
! LaAlSb2Te | the Alexandria database | PBE | optimized geometry; values from VASP
&SYSTEM
  ibrav = 0, nat = 5, ntyp = 4
/
ATOMIC_SPECIES
La 138.91 La.upf
Sb 121.76 Sb.upf
Al 26.98 Al.upf
Te 127.60 Te.upf
ATOMIC_POSITIONS crystal
La 0.000 0.000 0.000
Sb 0.500 0.000 0.000
Sb 0.000 0.500 0.000
Al 0.500 0.500 0.500
Te 0.000 0.000 0.500
CELL_PARAMETERS angstrom
6.078 0.000 0.000
0.000 6.078 0.000
0.000 0.000 6.113
! formation energy from raw total energies = 424 meV/atom
! ΔE to the lowest computed polymorph = 649.3 meV per atom
! raw total energy = -3.587 eV/atom
! space-group type = P4/mmm, No. 123



Record 12
! LaAlTl2Sb | the Alexandria database | PBE | optimized geometry; values from VASP
&SYSTEM
  ibrav = 0, nat = 5, ntyp = 4
/
ATOMIC_SPECIES
Sb 121.76 Sb.upf
La 138.91 La.upf
Tl 204.38 Tl.upf
Al 26.98 Al.upf
ATOMIC_POSITIONS crystal
Sb 0.500 0.500 0.500
La 0.000 0.000 0.000
Tl 0.000 0.000 0.500
Tl 0.500 0.000 0.000
Al 0.000 0.500 0.000
CELL_PARAMETERS angstrom
6.085 0.000 0.000
0.000 5.817 0.000
0.000 0.000 6.085
! formation energy from raw total energies = 849 meV/atom
! raw total energy = -2.656 eV/atom
! space-group type = P4/mmm, No. 123



Record 13
! LaScAl2 | the Alexandria database | PBE | optimized geometry; values from VASP
&SYSTEM
  ibrav = 0, nat = 8, ntyp = 3
/
ATOMIC_SPECIES
Al 26.98 Al.upf
Sc 44.96 Sc.upf
La 138.91 La.upf
ATOMIC_POSITIONS crystal
Al 0.875 0.847 0.750
Al 0.597 0.125 0.250
Al 0.375 0.403 0.750
Al 0.153 0.625 0.250
Sc 0.250 0.750 0.500
Sc 0.500 0.500 0.000
La 0.750 0.250 0.500
La 0.000 0.000 0.000
CELL_PARAMETERS angstrom
-3.878 -3.735 -6.187
2.647 -7.267 2.728
-3.076 -5.760 -0.031
! ΔE to the lowest computed polymorph = 463.7 meV per atom
! energy of formation = 0.066 eV/atom
! raw total energy = -4.620 eV/atom
! space-group type = I-42d, No. 122



Record 14
! LaScAl2 | the Alexandria database | PBE | optimized geometry; values from VASP
&SYSTEM
  ibrav = 0, nat = 4, ntyp = 3
/
ATOMIC_SPECIES
Al 26.98 Al.upf
Sc 44.96 Sc.upf
La 138.91 La.upf
ATOMIC_POSITIONS crystal
Al 0.500 0.500 0.000
Al 0.000 0.000 0.000
Sc 0.000 0.500 0.500
La 0.500 0.000 0.500
CELL_PARAMETERS angstrom
-1.569 1.569 -4.929
2.979 -4.447 -0.752
-2.720 -1.868 0.271
! ΔE to the lowest computed polymorph = 123.9 meV per atom
! energy of formation = -0.274 eV/atom
! raw total energy = -4.960 eV/atom
! space-group type = Cmmm, No. 65



Record 15
! LaSc2Al6 | the Alexandria database | PBE | optimized geometry; values from VASP
&SYSTEM
  ibrav = 0, nat = 9, ntyp = 3
/
ATOMIC_SPECIES
Al 26.98 Al.upf
La 138.91 La.upf
Sc 44.96 Sc.upf
ATOMIC_POSITIONS crystal
Al 0.500 0.324 0.676
Al 0.500 0.676 0.324
Al 0.691 0.610 0.009
Al 0.309 0.991 0.390
Al 0.691 0.009 0.610
Al 0.309 0.390 0.991
La 0.000 0.000 0.000
Sc 0.880 0.620 0.620
Sc 0.120 0.380 0.380
CELL_PARAMETERS angstrom
-3.724 1.965 1.031
0.340 1.470 7.537
1.905 6.810 3.015
! energy of formation = -0.309 eV/atom
! raw total energy = -4.759 eV/atom
! space-group type = Immm, No. 71



Record 16
! LaScAl2 | the Alexandria database | PBE | optimized geometry; values from VASP
&SYSTEM
  ibrav = 0, nat = 4, ntyp = 3
/
ATOMIC_SPECIES
Al 26.98 Al.upf
La 138.91 La.upf
Sc 44.96 Sc.upf
ATOMIC_POSITIONS crystal
Al 0.000 0.196 0.982
Al 0.500 0.072 0.232
La 0.000 0.462 0.451
Sc 0.500 0.770 0.835
CELL_PARAMETERS angstrom
-1.931 -1.560 -3.755
0.218 -3.283 1.252
-5.368 -1.031 3.189
! ΔE to the lowest computed polymorph = 73.1 meV per atom
! energy of formation = -0.325 eV/atom
! raw total energy = -5.011 eV/atom
! space-group type = Amm2, No. 38



Record 17
! La4ScAl | the Alexandria database | PBE | optimized geometry; values from VASP
&SYSTEM
  ibrav = 0, nat = 6, ntyp = 3
/
ATOMIC_SPECIES
Sc 44.96 Sc.upf
La 138.91 La.upf
Al 26.98 Al.upf
ATOMIC_POSITIONS crystal
Sc 0.750 0.750 0.750
La 0.374 0.374 0.374
La 0.374 0.877 0.374
La 0.877 0.374 0.374
La 0.374 0.374 0.877
Al 0.000 0.000 0.000
CELL_PARAMETERS angstrom
-5.515 -3.305 -0.941
-5.288 1.443 3.489
-5.077 2.893 -2.842
! energy of formation = 0.346 eV/atom
! raw total energy = -4.618 eV/atom
! space-group type = F-43m, No. 216



Record 18
! LaScAl2 | the Alexandria database | PBE | optimized geometry; values from VASP
&SYSTEM
  ibrav = 0, nat = 4, ntyp = 3
/
ATOMIC_SPECIES
Al 26.98 Al.upf
Sc 44.96 Sc.upf
La 138.91 La.upf
ATOMIC_POSITIONS crystal
Al 0.750 0.750 0.750
Al 0.000 0.000 0.000
Sc 0.250 0.250 0.250
La 0.500 0.500 0.500
CELL_PARAMETERS angstrom
5.015 0.000 0.000
2.508 4.344 0.000
2.508 1.448 4.095
! ΔE to the lowest computed polymorph = 392.0 meV per atom
! energy of formation = -0.006 eV/atom
! raw total energy = -4.692 eV/atom
! space-group type = F-43m, No. 216



Record 19
! LaSc2Al2 | the Alexandria database | PBE | optimized geometry; values from VASP
&SYSTEM
  ibrav = 0, nat = 5, ntyp = 3
/
ATOMIC_SPECIES
Al 26.98 Al.upf
Sc 44.96 Sc.upf
La 138.91 La.upf
ATOMIC_POSITIONS crystal
Al 0.398 0.398 0.203
Al 0.602 0.602 0.797
Sc 0.250 0.750 0.500
Sc 0.750 0.250 0.500
La 0.000 0.000 0.000
CELL_PARAMETERS angstrom
-0.787 -2.856 3.351
3.819 -2.137 -0.924
4.634 1.344 5.218
! ΔE to the lowest computed polymorph = 34.2 meV per atom
! energy of formation = -0.281 eV/atom
! raw total energy = -5.296 eV/atom
! space-group type = I4/mmm, No. 139



Record 20
! La3ScAl8 | the Alexandria database | PBE | optimized geometry; values from VASP
&SYSTEM
  ibrav = 0, nat = 12, ntyp = 3
/
ATOMIC_SPECIES
Al 26.98 Al.upf
Sc 44.96 Sc.upf
La 138.91 La.upf
ATOMIC_POSITIONS crystal
Al 0.162 0.323 0.257
Al 0.992 0.496 0.743
Al 0.162 0.838 0.257
Al 0.504 0.008 0.743
Al 0.504 0.496 0.743
Al 0.333 0.667 0.502
Al 0.677 0.838 0.257
Al 0.333 0.667 0.994
Sc 0.000 0.000 0.569
La 0.667 0.333 0.070
La 0.000 0.000 0.932
La 0.667 0.333 0.434
CELL_PARAMETERS angstrom
5.663 0.000 0.000
-2.831 4.904 0.000
0.000 0.000 9.308
! ΔE to the lowest computed polymorph = 19.2 meV per atom
! energy of formation = -0.453 eV/atom
! raw total energy = -4.708 eV/atom
! space-group type = P3m1, No. 156